# ZrVPS2 (PBE, optimized geometry)
# ΔE_f (raw) (eV/atom): 0.34
# Energy above the most stable polymorph in this dataset (kJ/mol of formula units): 262
data_ZrVPS2
_space_group_name_H-M_alt 'P 4/m m m'
_space_group_IT_number 123
_space_group_name_Hall '-P 4 2'
_cell_length_a 4.8787
_cell_length_b 4.8787
_cell_length_c 5.0880
_cell_angle_alpha 90.00
_cell_angle_beta 90.00
_cell_angle_gamma 90.00
loop_
_atom_site_label
_atom_site_type_symbol
_atom_site_fract_x
_atom_site_fract_y
_atom_site_fract_z
Zr1 Zr 0.0000 0.0000 0.0000
V1 V 0.5000 0.5000 0.5000
P1 P 0.0000 0.0000 0.5000
S1 S 0.0000 0.5000 0.0000

=====

# ZrVPS2 (PBE, optimized geometry)
# ΔE_f (raw) (eV/atom): -0.21
# Energy above the most stable polymorph in this dataset (kJ/mol of formula units): 0
data_ZrVPS2
_space_group_name_H-M_alt 'P 4/m m m'
_space_group_IT_number 123
_space_group_name_Hall '-P 4 2'
_cell_length_a 4.4452
_cell_length_b 4.4452
_cell_length_c 4.6692
_cell_angle_alpha 90.00
_cell_angle_beta 90.00
_cell_angle_gamma 90.00
loop_
_atom_site_label
_atom_site_type_symbol
_atom_site_fract_x
_atom_site_fract_y
_atom_site_fract_z
Zr1 Zr 0.0000 0.0000 0.0000
V1 V 0.5000 0.5000 0.5000
P1 P 0.5000 0.5000 0.0000
S1 S 0.0000 0.5000 0.5000

=====

# P2WS2 (PBE, optimized geometry)
# ΔE_f (raw) (eV/atom): 0.70
# Energy above the most stable polymorph in this dataset (kJ/mol of formula units): 35
data_P2WS2
_space_group_name_H-M_alt 'P 4/m m m'
_space_group_IT_number 123
_space_group_name_Hall '-P 4 2'
_cell_length_a 4.5561
_cell_length_b 4.5561
_cell_length_c 5.0282
_cell_angle_alpha 90.00
_cell_angle_beta 90.00
_cell_angle_gamma 90.00
loop_
_atom_site_label
_atom_site_type_symbol
_atom_site_fract_x
_atom_site_fract_y
_atom_site_fract_z
P1 P 0.0000 0.0000 0.0000
P2 P 0.5000 0.5000 0.0000
W1 W 0.0000 0.0000 0.5000
S1 S 0.0000 0.5000 0.5000

=====

# P2WS2 (PBE, optimized geometry)
# ΔE_f (raw) (eV/atom): 1.27
# Energy above the most stable polymorph in this dataset (kJ/mol of formula units): 308
data_P2WS2
_space_group_name_H-M_alt 'P 4/m m m'
_space_group_IT_number 123
_space_group_name_Hall '-P 4 2'
_cell_length_a 4.3616
_cell_length_b 4.3616
_cell_length_c 4.2958
_cell_angle_alpha 90.00
_cell_angle_beta 90.00
_cell_angle_gamma 90.00
loop_
_atom_site_label
_atom_site_type_symbol
_atom_site_fract_x
_atom_site_fract_y
_atom_site_fract_z
P1 P 0.0000 0.5000 0.0000
W1 W 0.0000 0.0000 0.5000
S1 S 0.5000 0.5000 0.0000
S2 S 0.5000 0.5000 0.5000

=====

# PWS3 (PBE, optimized geometry)
# ΔE_f (raw) (eV/atom): 0.58
# Energy above the most stable polymorph in this dataset (kJ/mol of formula units): 0
data_PWS3
_space_group_name_H-M_alt 'P m -3 m'
_space_group_IT_number 221
_space_group_name_Hall '-P 4 2 3'
_cell_length_a 4.6852
_cell_length_b 4.6852
_cell_length_c 4.6852
_cell_angle_alpha 90.00
_cell_angle_beta 90.00
_cell_angle_gamma 90.00
loop_
_atom_site_label
_atom_site_type_symbol
_atom_site_fract_x
_atom_site_fract_y
_atom_site_fract_z
P1 P 0.0000 0.0000 0.0000
W1 W 0.5000 0.5000 0.5000
S1 S 0.0000 0.5000 0.5000

=====

# PWS3 (PBE, optimized geometry)
# ΔE_f (raw) (eV/atom): 1.10
# Energy above the most stable polymorph in this dataset (kJ/mol of formula units): 248
data_PWS3
_space_group_name_H-M_alt 'P m -3 m'
_space_group_IT_number 221
_space_group_name_Hall '-P 4 2 3'
_cell_length_a 4.3068
_cell_length_b 4.3068
_cell_length_c 4.3068
_cell_angle_alpha 90.00
_cell_angle_beta 90.00
_cell_angle_gamma 90.00
loop_
_atom_site_label
_atom_site_type_symbol
_atom_site_fract_x
_atom_site_fract_y
_atom_site_fract_z
P1 P 0.0000 0.0000 0.0000
W1 W 0.5000 0.5000 0.5000
S1 S 0.0000 0.0000 0.5000

=====

# P2WS2 (PBE, optimized geometry)
# ΔE_f (raw) (eV/atom): 1.11
# Energy above the most stable polymorph in this dataset (kJ/mol of formula units): 231
data_P2WS2
_space_group_name_H-M_alt 'P 4/m m m'
_space_group_IT_number 123
_space_group_name_Hall '-P 4 2'
_cell_length_a 4.3430
_cell_length_b 4.3430
_cell_length_c 4.3492
_cell_angle_alpha 90.00
_cell_angle_beta 90.00
_cell_angle_gamma 90.00
loop_
_atom_site_label
_atom_site_type_symbol
_atom_site_fract_x
_atom_site_fract_y
_atom_site_fract_z
P1 P 0.0000 0.0000 0.0000
P2 P 0.0000 0.0000 0.5000
W1 W 0.5000 0.5000 0.0000
S1 S 0.0000 0.5000 0.5000

=====

# PWS2 (PBE, optimized geometry)
# ΔE_f (raw) (eV/atom): 0.55
data_PWS2
_space_group_name_H-M_alt 'I -4 2 d'
_space_group_IT_number 122
_space_group_name_Hall 'I -4 2bw'
_cell_length_a 5.8639
_cell_length_b 5.8639
_cell_length_c 9.4638
_cell_angle_alpha 90.00
_cell_angle_beta 90.00
_cell_angle_gamma 90.00
loop_
_atom_site_label
_atom_site_type_symbol
_atom_site_fract_x
_atom_site_fract_y
_atom_site_fract_z
P1 P 0.0000 0.0000 0.0000
W1 W 0.0000 0.0000 0.5000
S1 S 0.2212 0.2500 0.6250

=====

# P2WS2 (PBE, optimized geometry)
# ΔE_f (raw) (eV/atom): 0.63
# Energy above the most stable polymorph in this dataset (kJ/mol of formula units): 0
data_P2WS2
_space_group_name_H-M_alt 'P 4/m m m'
_space_group_IT_number 123
_space_group_name_Hall '-P 4 2'
_cell_length_a 4.7816
_cell_length_b 4.7816
_cell_length_c 4.4758
_cell_angle_alpha 90.00
_cell_angle_beta 90.00
_cell_angle_gamma 90.00
loop_
_atom_site_label
_atom_site_type_symbol
_atom_site_fract_x
_atom_site_fract_y
_atom_site_fract_z
P1 P 0.0000 0.5000 0.0000
W1 W 0.0000 0.0000 0.0000
S1 S 0.0000 0.0000 0.5000
S2 S 0.5000 0.5000 0.5000

=====

# PW3S (PBE, optimized geometry)
# ΔE_f (raw) (eV/atom): 1.23
# Energy above the most stable polymorph in this dataset (kJ/mol of formula units): 0
data_PW3S
_space_group_name_H-M_alt 'P m -3 m'
_space_group_IT_number 221
_space_group_name_Hall '-P 4 2 3'
_cell_length_a 4.4281
_cell_length_b 4.4281
_cell_length_c 4.4281
_cell_angle_alpha 90.00
_cell_angle_beta 90.00
_cell_angle_gamma 90.00
loop_
_atom_site_label
_atom_site_type_symbol
_atom_site_fract_x
_atom_site_fract_y
_atom_site_fract_z
P1 P 0.0000 0.0000 0.0000
W1 W 0.0000 0.5000 0.5000
S1 S 0.5000 0.5000 0.5000

=====

# PWS2 (PBE, optimized geometry)
# ΔE_f (raw) (eV/atom): 0.03
data_PWS2
_space_group_name_H-M_alt 'R -3 m'
_space_group_IT_number 166
_space_group_name_Hall '-R 3 2"'
_cell_length_a 3.1643
_cell_length_b 3.1643
_cell_length_c 24.3458
_cell_angle_alpha 90.00
_cell_angle_beta 90.00
_cell_angle_gamma 120.00
loop_
_atom_site_label
_atom_site_type_symbol
_atom_site_fract_x
_atom_site_fract_y
_atom_site_fract_z
P1 P 0.0000 0.0000 0.0000
W1 W 0.0000 0.0000 0.5000
S1 S 0.0000 0.0000 0.1005

=====

# PW2S (PBE, optimized geometry)
# ΔE_f (raw) (eV/atom): 0.50
# Energy above the most stable polymorph in this dataset (kJ/mol of formula units): 171
data_PW2S
_space_group_name_H-M_alt 'I -4 2 d'
_space_group_IT_number 122
_space_group_name_Hall 'I -4 2bw'
_cell_length_a 5.5198
_cell_length_b 5.5198
_cell_length_c 10.1808
_cell_angle_alpha 90.00
_cell_angle_beta 90.00
_cell_angle_gamma 90.00
loop_
_atom_site_label
_atom_site_type_symbol
_atom_site_fract_x
_atom_site_fract_y
_atom_site_fract_z
P1 P 0.0000 0.0000 0.0000
W1 W 0.2444 0.2500 0.6250
S1 S 0.0000 0.0000 0.5000

=====

# PW2S (PBE, optimized geometry)
# ΔE_f (raw) (eV/atom): 0.06
# Energy above the most stable polymorph in this dataset (kJ/mol of formula units): 0
data_PW2S
_space_group_name_H-M_alt 'F m -3 m'
_space_group_IT_number 225
_space_group_name_Hall '-F 4 2 3'
_cell_length_a 6.0353
_cell_length_b 6.0353
_cell_length_c 6.0353
_cell_angle_alpha 90.00
_cell_angle_beta 90.00
_cell_angle_gamma 90.00
loop_
_atom_site_label
_atom_site_type_symbol
_atom_site_fract_x
_atom_site_fract_y
_atom_site_fract_z
P1 P 0.0000 0.0000 0.0000
W1 W 0.2500 0.2500 0.2500
S1 S 0.0000 0.0000 0.5000